1.
Entry from Alexandria via LeMat-Bulk: an optimized crystal structure of BaScIr (PBE).

Cell and atoms, written as POSCAR:
```
BaScIr
1.0
4.936 0.000 0.000
2.468 4.275 0.000
2.468 1.425 4.030
Ba Ir Sc
1 1 1
Cartesian
4.936 2.850 2.015
7.404 4.275 3.023
0.000 0.000 0.000
```

As for the size of the total moment: 0.00 μB/f.u.

---

2.
Entry from Alexandria via LeMat-Bulk: an optimized crystal structure of BaScIr (PBE).

Cell and atoms, written as POSCAR:
```
BaScIr
1.0
7.349 0.019 -0.020
6.534 3.365 -0.015
0.815 0.194 3.340
Sc Ba Ir
1 1 1
Cartesian
10.223 2.490 0.910
13.537 3.300 0.054
4.821 1.172 2.305
```

As for the size of the total moment: 0.00 μB/f.u.

---

3.
Entry from Alexandria via LeMat-Bulk: an optimized crystal structure of BaScIr (PBE).

Cell and atoms, written as POSCAR:
```
BaScIr
1.0
-0.751 -3.034 2.881
1.103 -1.061 -3.965
5.877 0.078 1.614
Sc Ba Ir
1 1 1
Cartesian
3.200 -1.682 -0.938
5.482 0.073 1.505
3.424 -2.328 1.575
```

As for the size of the total moment: 0.00 μB/f.u.

---

4.
Entry from Alexandria via LeMat-Bulk: an optimized crystal structure of BaScIr (PBE).

Cell and atoms, written as POSCAR:
```
BaScIr
1.0
4.825 0.000 0.000
2.412 4.178 0.000
2.412 1.393 3.939
Ir Ba Sc
1 1 1
Cartesian
0.000 0.000 0.000
7.237 4.178 2.955
4.825 2.786 1.970
```

As for the size of the total moment: 0.00 μB/f.u.

---

Most favorable structure: 2. The second most favorable one is 3.1 kJ/mol of atoms above it.

---

1.
Entry from Alexandria via LeMat-Bulk: an optimized crystal structure of BaScIr3 (PBE).

Cell and atoms, written as POSCAR:
```
BaScIr3
1.0
-2.942 -3.690 1.353
3.647 -3.193 -0.778
1.465 0.538 4.655
Sc Ir Ba
1 3 1
Cartesian
0.000 0.000 0.000
0.732 0.269 2.327
1.824 -1.597 -0.389
-1.471 -1.845 0.676
1.085 -3.172 2.615
```

As for the size of the total moment: 0.00 μB/f.u.

---

2.
Entry from Alexandria via LeMat-Bulk: an optimized crystal structure of BaScIr3 (PBE).

Cell and atoms, written as POSCAR:
```
BaScIr3
1.0
-1.730 -4.726 0.343
4.736 -1.712 0.288
-0.153 0.421 5.024
Ir Ba Sc
3 1 1
Cartesian
2.368 -0.856 0.144
-0.865 -2.363 0.171
-0.077 0.210 2.512
0.000 0.000 0.000
1.427 -3.009 2.828
```

As for the size of the total moment: 0.00 μB/f.u.

---

Most favorable structure: 1. The second most favorable one is 139.3 kJ/mol of atoms above it.